A geometry-optimized NdSbPb2O6 structure, computed with GGA-PBE.

## Properties
SG = Fm-3m
calculated density = 8.3 g/cm3
M_tot = 0.0 μB per formula unit
final energy = -5.5394 eV per atom
energy relative to the lowest polymorph listed for this composition = 0.884 eV/atom
V = 156 Å³ per cell

a b c (Å): 6.0386 6.0386 6.0386
angles (deg): 60.00 60.00 60.00
Sites, in units of the cell vectors:
Nd 0.0000 0.0000 0.0000
Sb 0.5000 0.5000 0.5000
Pb 0.2500 0.2500 0.2500
Pb 0.7500 0.7500 0.7500
O 0.0000 0.0000 0.5000
O 0.0000 0.5000 0.0000
O 0.0000 0.5000 0.5000
O 0.5000 0.0000 0.0000
O 0.5000 0.0000 0.5000
O 0.5000 0.5000 0.0000


A geometry-optimized NaLi2ErF6 structure, computed with GGA-PBE.

## Properties
SG = Fm-3m
calculated density = 3.7 g/cm3
M_tot = 0.0 μB per formula unit
final energy = -5.0998 eV per atom
V = 144 Å³ per cell

a b c (Å): 5.8899 5.8899 5.8899
angles (deg): 60.00 60.00 60.00
Sites, in units of the cell vectors:
Na 0.0000 0.0000 0.0000
Li 0.2500 0.2500 0.2500
Li 0.7500 0.7500 0.7500
Er 0.5000 0.5000 0.5000
F 0.2490 0.2490 0.7510
F 0.2490 0.7510 0.2490
F 0.2490 0.7510 0.7510
F 0.7510 0.2490 0.2490
F 0.7510 0.2490 0.7510
F 0.7510 0.7510 0.2490


A geometry-optimized GdHoCd6 structure, computed with GGA-PBE.

## Properties
SG = Pmm2
calculated density = 9.0 g/cm3
M_tot = 0.0 μB per formula unit
final energy = -2.1084 eV per atom
energy relative to the lowest polymorph listed for this composition = 0.011 eV/atom
V = 183 Å³ per cell

a b c (Å): 5.0612 7.1574 5.0617
angles (deg): 90.00 90.00 90.00
Sites, in units of the cell vectors:
Gd 0.0000 0.0000 0.0000
Ho 0.5000 0.5000 0.5078
Cd 0.0000 0.2524 0.4994
Cd 0.0000 0.5000 0.0003
Cd 0.0000 0.7476 0.4994
Cd 0.5000 0.0000 0.5069
Cd 0.5000 0.2524 0.0082
Cd 0.5000 0.7476 0.0082


A geometry-optimized DyHo2Cu4Si2Ge2 structure, computed with GGA-PBE.

## Properties
SG = Immm
calculated density = 8.3 g/cm3
M_tot = 0.0 μB per formula unit
final energy = -5.0718 eV per atom
energy relative to the lowest polymorph listed for this composition = 0.000 eV/atom
V = 189 Å³ per cell

a b c (Å): 7.9346 7.9346 7.9346
angles (deg): 149.79 130.77 58.85
Sites, in units of the cell vectors:
Dy 0.0000 0.0000 0.0000
Ho 0.3703 0.8703 0.5000
Ho 0.6297 0.1297 0.5000
Cu 0.0164 0.3258 0.6906
Cu 0.3648 0.6742 0.6906
Cu 0.6352 0.3258 0.3094
Cu 0.9836 0.6742 0.3094
Si 0.2167 0.2167 0.0000
Si 0.7833 0.7833 0.0000
Ge 0.3076 0.5000 0.8076
Ge 0.6924 0.5000 0.1924